Density functional theory data (PBE) for a relaxed structure of In4Tc.

energy of formation	0.287	eV/atom
space group	No. 87
energy relative to the lowest polymorph listed for this composition	289.3	meV/atom
final energy	-3.977	eV/atom

Cell: 5.6163 5.6163 5.6163 Å, 96.65 96.65 140.22°
Closest atoms and distances in Å follow each position.
Fractional positions:
In: 0.0973 0.7159 0.8132  2 Tc 2.95, 8 In 3.02-3.17
In: 0.2841 0.0973 0.3815  2 Tc 2.95, 8 In 3.02-3.17
In: 0.7159 0.9027 0.6185  2 Tc 2.95, 8 In 3.02-3.17
In: 0.9027 0.2841 0.1868  2 Tc 2.95, 8 In 3.02-3.17
Tc: 0.5000 0.5000 0.0000  8 In 2.95